(1)
Entry from Alexandria: a relaxed structure of BaReRu3 (PBEsol).

Computed properties:
D(E_F) = 8.1 states/eV/f.u.
electronic total energy = -5.6892 eV per atom
energy of formation = 3.5104 eV per atom

abc: 4.768 4.768 4.768
angles: 90.00 90.00 90.00
Space group Pm-3m (No. 221)
Symmetry-distinct sites (fractional):
Ba  0.000  0.000  0.000 x1
Re  0.500  0.500  0.500 x1
Ru  0.000  0.000  0.500 x3

(2)
Entry from Alexandria: a relaxed structure of BaReRu (PBEsol).

Computed properties:
D(E_F) = 2.6 states/eV/f.u.
electronic total energy = -7.8771 eV per atom
energy of formation = 0.6741 eV per atom

abc: 3.132 3.132 12.948
angles: 90.00 90.00 90.00
Space group I4mm (No. 107)
Symmetry-distinct sites (fractional):
Ba  0.000  0.000  0.000 x2
Re  0.000  0.000  0.296 x2
Ru  0.000  0.000  0.706 x2

(3)
Entry from Alexandria: a relaxed structure of Ba2Re6S11 (PBEsol).

Computed properties:
ΔE_f (raw) = -0.933 eV/atom
electronic total energy = -7.9077 eV per atom

abc: 9.0972 9.0972 31.9670
angles: 90.00 90.00 120.00
Space group R-3c (No. 167, hexagonal axes)
Symmetry-distinct sites (fractional):
Ba  0.0000  0.0000  0.1881 x12
Re  0.0239  0.1766  0.4661 x36
S  0.0000  0.0000  0.0910 x12
S  0.0000  0.2646  0.7500 x18
S  0.0079  0.3859  0.1973 x36

(4)
Entry from Alexandria: a relaxed structure of BaRe2SeS (PBEsol).

Computed properties:
ΔE_f (raw) = 1.004 eV/atom
D(E_F) = 5.5 states/eV/f.u.
electronic total energy = -6.4050 eV per atom

abc: 4.550 4.550 6.048
angles: 90.00 90.00 90.00
Space group P4/mmm (No. 123)
Symmetry-distinct sites (fractional):
Ba  0.000  0.000  0.000 x1
Re  0.000  0.500  0.500 x2
Se  0.500  0.500  0.500 x1
S  0.500  0.500  0.000 x1

The highest electronic total energy belongs to which entry?
BaReRu3

Among the records above, which one has the lowest electronic total energy?
Ba2Re6S11

Copy entry 3 word for word.
Entry from Alexandria: a relaxed structure of Ba2Re6S11 (PBEsol).

Computed properties:
ΔE_f (raw) = -0.933 eV/atom
electronic total energy = -7.9077 eV per atom

abc: 9.0972 9.0972 31.9670
angles: 90.00 90.00 120.00
Space group R-3c (No. 167, hexagonal axes)
Symmetry-distinct sites (fractional):
Ba  0.0000  0.0000  0.1881 x12
Re  0.0239  0.1766  0.4661 x36
S  0.0000  0.0000  0.0910 x12
S  0.0000  0.2646  0.7500 x18
S  0.0079  0.3859  0.1973 x36

Copy entry 3 word for word.
Entry from Alexandria: a relaxed structure of Ba2Re6S11 (PBEsol).

Computed properties:
ΔE_f (raw) = -0.933 eV/atom
electronic total energy = -7.9077 eV per atom

abc: 9.0972 9.0972 31.9670
angles: 90.00 90.00 120.00
Space group R-3c (No. 167, hexagonal axes)
Symmetry-distinct sites (fractional):
Ba  0.0000  0.0000  0.1881 x12
Re  0.0239  0.1766  0.4661 x36
S  0.0000  0.0000  0.0910 x12
S  0.0000  0.2646  0.7500 x18
S  0.0079  0.3859  0.1973 x36